! TiNbZn2Ru | the Alexandria database | PBE | optimized geometry; values from VASP
! **Calculated total energy**: -5.243 eV/atom
! **Space-group type**: P4/mmm (123)
! **Calculated density**: 6.4 g/cm3
! **Magnetization**: 0.696 μB per cell
! **ΔH_f (0 K)**: 0.71 eV per atom
&SYSTEM
  ibrav = 0, nat = 5, ntyp = 4
/
ATOMIC_SPECIES
Nb 92.91 Nb.upf
Ti 47.87 Ti.upf
Zn 65.41 Zn.upf
Ru 101.07 Ru.upf
ATOMIC_POSITIONS angstrom
Nb -3.421 0.027 2.042
Ti -0.392 -1.283 1.761
Zn -0.912 1.835 1.134
Zn -2.117 -0.525 -0.853
Ru 0.000 0.000 0.000
CELL_PARAMETERS angstrom
-4.234 -1.050 -1.707
-0.783 -2.567 3.521
-1.825 3.670 2.269